*w*
# Er3TmGa4

Er3TmGa4 after structural relaxation (PBE, Alexandria via LeMat-Bulk).

Geometry as POSCAR:
```
Er3TmGa4
1.0
-1.7725 3.3361 8.2109
1.7725 -3.3361 8.2109
1.7725 3.3361 -8.2109
Er Tm Ga
3 1 4
direct
0.0000 0.0000 0.0000
0.2973 0.7973 0.5000
0.7027 0.2027 0.5000
0.5000 0.5000 0.0000
0.0643 0.3707 0.6936
0.3229 0.6293 0.6936
0.6771 0.3707 0.3064
0.9357 0.6293 0.3064
```

***

*x*
# Er3TmGa4

Er3TmGa4 after structural relaxation (PBE, Alexandria via LeMat-Bulk).

Geometry as POSCAR:
```
Er3TmGa4
1.0
2.4987 1.4426 8.1828
-2.4987 1.4426 8.1828
0.0000 -2.8852 8.1828
Er Tm Ga
3 1 4
direct
0.0000 0.0000 0.0000
0.2498 0.2498 0.2498
0.7502 0.7502 0.7502
0.5000 0.5000 0.5000
0.1252 0.1252 0.1252
0.3752 0.3752 0.3752
0.6248 0.6248 0.6248
0.8748 0.8748 0.8748
```

***

Short version: *w* is the least stable of them.

***

*w*
# ErTmGa4

ErTmGa4 after structural relaxation (PBE, Alexandria via LeMat-Bulk).

Geometry as POSCAR:
```
ErTmGa4
1.0
0.0000 3.8665 3.8665
3.8665 0.0000 3.8665
3.8665 3.8665 0.0000
Er Tm Ga
1 1 4
direct
0.0000 0.0000 0.0000
0.2500 0.2500 0.2500
0.1250 0.6250 0.6250
0.6250 0.1250 0.6250
0.6250 0.6250 0.1250
0.6250 0.6250 0.6250
```

***

*x*
# ErTmGa4

ErTmGa4 after structural relaxation (PBE, Alexandria via LeMat-Bulk).

Geometry as POSCAR:
```
ErTmGa4
1.0
4.4231 0.0000 0.0000
-2.2115 3.8305 0.0000
0.0000 0.0000 6.9571
Er Tm Ga
1 1 4
direct
0.0000 0.0000 0.0000
0.0000 0.0000 0.5000
0.3333 0.6667 0.2521
0.3333 0.6667 0.7479
0.6667 0.3333 0.2521
0.6667 0.3333 0.7479
```

***

Short version: *w* is the least stable of them.

***

*w*
# ErTm2Ga3

ErTm2Ga3 after structural relaxation (PBE, Alexandria via LeMat-Bulk).

Geometry as POSCAR:
```
ErTm2Ga3
1.0
4.9893 0.0000 0.0000
-2.4946 4.3209 0.0000
0.0000 0.0000 12.2353
Er Tm Ga
2 4 6
direct
0.3333 0.6667 0.1667
0.6667 0.3333 0.8333
0.0000 0.0000 0.0000
0.0000 0.0000 0.5000
0.3333 0.6667 0.6661
0.6667 0.3333 0.3339
0.0000 0.0000 0.2505
0.0000 0.0000 0.7495
0.3333 0.6667 0.4170
0.3333 0.6667 0.9164
0.6667 0.3333 0.0836
0.6667 0.3333 0.5830
```

***

*x*
# ErTm2Ga3

ErTm2Ga3 after structural relaxation (PBE, Alexandria via LeMat-Bulk).

Geometry as POSCAR:
```
ErTm2Ga3
1.0
2.2486 -10.3084 0.0000
2.2486 10.3084 0.0000
0.0000 0.0000 6.1220
Er Tm Ga
2 4 6
direct
0.1783 0.8217 0.7500
0.8217 0.1783 0.2500
0.3589 0.6411 0.7500
0.4669 0.5331 0.2500
0.5331 0.4669 0.7500
0.6411 0.3589 0.2500
0.0631 0.9369 0.0419
0.0631 0.9369 0.4581
0.2344 0.7656 0.2500
0.7656 0.2344 0.7500
0.9369 0.0631 0.5419
0.9369 0.0631 0.9581
```

***

Short version: *x* is the least stable of them.

***

*w*
# Er2Tm3Ga4

Er2Tm3Ga4 after structural relaxation (PBE, Alexandria via LeMat-Bulk).

Geometry as POSCAR:
```
Er2Tm3Ga4
1.0
7.8398 0.0000 0.0000
0.0000 7.8967 0.0000
-2.0585 0.0000 6.9617
Er Tm Ga
4 6 8
direct
0.1875 0.1866 0.0711
0.1875 0.3134 0.5711
0.8125 0.6866 0.4289
0.8125 0.8134 0.9289
0.2387 0.6738 0.2521
0.2387 0.8262 0.7521
0.5000 0.0000 0.5000
0.5000 0.5000 0.0000
0.7613 0.1738 0.2479
0.7613 0.3262 0.7479
0.0817 0.5290 0.8604
0.0817 0.9710 0.3604
0.4855 0.1268 0.8784
0.4855 0.3732 0.3784
0.5145 0.6268 0.6216
0.5145 0.8732 0.1216
0.9183 0.0290 0.6396
0.9183 0.4710 0.1396
```

***

*x*
# Er2Tm3Ga4

Er2Tm3Ga4 after structural relaxation (PBE, Alexandria via LeMat-Bulk).

Geometry as POSCAR:
```
Er2Tm3Ga4
1.0
3.3910 -7.6303 0.0000
3.3910 7.6303 0.0000
0.0000 0.0000 8.5439
Er Tm Ga
4 6 8
direct
0.1088 0.8912 0.9206
0.3912 0.6088 0.4206
0.6088 0.3912 0.5794
0.8912 0.1088 0.0794
0.0000 0.0000 0.5000
0.0389 0.4611 0.7500
0.4611 0.0389 0.2500
0.5000 0.5000 0.0000
0.5389 0.9611 0.7500
0.9611 0.5389 0.2500
0.1906 0.8094 0.5403
0.2266 0.2734 0.7500
0.2734 0.2266 0.2500
0.3094 0.6906 0.0403
0.6906 0.3094 0.9597
0.7266 0.7734 0.7500
0.7734 0.7266 0.2500
0.8094 0.1906 0.4597
```

***

Short version: *x* is the least stable of them.

***

*w*
# ErVGa2

ErVGa2 after structural relaxation (PBE, Alexandria via LeMat-Bulk).

Geometry as POSCAR:
```
ErVGa2
1.0
3.3926 0.0000 0.0000
0.0000 3.3926 0.0000
0.0000 0.0000 6.2356
Er V Ga
1 1 2
direct
0.0000 0.0000 0.0000
0.0000 0.0000 0.5000
0.5000 0.5000 0.2974
0.5000 0.5000 0.7026
```

***

*x*
# ErVGa2

ErVGa2 after structural relaxation (PBE, Alexandria via LeMat-Bulk).

Geometry as POSCAR:
```
ErVGa2
1.0
2.1676 1.2514 4.8995
-2.1676 1.2514 4.8995
0.0000 -2.5029 4.8995
Er V Ga
1 1 2
direct
0.0000 0.0000 0.0000
0.5000 0.5000 0.5000
0.2186 0.2186 0.2186
0.7814 0.7814 0.7814
```

***

Short version: *x* is the least stable of them.

***

*w*
# Y2ErGa

Y2ErGa after structural relaxation (PBE, Alexandria via LeMat-Bulk).

Geometry as POSCAR:
```
Y2ErGa
1.0
1.8350 -6.3972 0.0000
1.8350 6.3972 0.0000
0.0000 0.0000 9.5431
Y Er Ga
4 2 2
direct
0.1339 0.8661 0.5517
0.1339 0.8661 0.9483
0.8661 0.1339 0.0517
0.8661 0.1339 0.4483
0.4432 0.5568 0.7500
0.5568 0.4432 0.2500
0.2431 0.7569 0.2500
0.7569 0.2431 0.7500
```

***

*x*
# Y2ErGa

Y2ErGa after structural relaxation (PBE, Alexandria via LeMat-Bulk).

Geometry as POSCAR:
```
Y2ErGa
1.0
1.8104 1.0452 10.1349
-1.8104 1.0452 10.1349
0.0000 -2.0904 10.1349
Y Er Ga
2 1 1
direct
0.0000 0.0000 0.0000
0.1907 0.1907 0.1907
0.4290 0.4290 0.4290
0.5950 0.5950 0.5950
```

***

*y*
# Y2ErGa

Y2ErGa after structural relaxation (PBE, Alexandria via LeMat-Bulk).

Geometry as POSCAR:
```
Y2ErGa
1.0
4.7349 0.0000 0.0000
0.0000 4.7349 0.0000
0.0000 0.0000 4.7055
Y Er Ga
2 1 1
direct
0.0000 0.5000 0.0000
0.5000 0.0000 0.0000
0.0000 0.0000 0.5000
0.5000 0.5000 0.5000
```

***

Short version: *x* is the least stable of them.